Record 1
Material: NdAl2Zn10
Method: DFT, PBE-GGA
State: optimized geometry

## Properties
The value obtained for the spin magnetization is 0.00 Bohr magnetons per cell. The calculation puts the energy of formation at -169 meV/atom. As for the symmetry: Fmmm, No. 69. The density of states at the Fermi level is 0.346 states/eV per atom.

POSCAR file:
```
NdAl2Zn10
1.0
5.436 0.000 0.000
2.718 6.260 0.000
2.718 0.000 6.287
Nd Al Zn
1 2 10
Cartesian
0.000 0.000 0.000
1.359 3.130 0.000
4.077 3.130 0.000
5.436 4.035 4.050
5.436 2.224 2.237
2.718 2.224 4.050
8.154 4.035 2.237
1.359 0.000 3.144
4.077 0.000 3.144
2.718 1.346 1.379
8.154 4.914 4.908
5.436 4.914 1.379
5.436 1.346 4.908
```

---

Record 2
Material: NdAl2Zn
Method: DFT, PBE-GGA
State: optimized geometry

## Properties
The value obtained for the spin magnetization is 0.00 Bohr magnetons per cell. The calculation puts the energy of formation at -166 meV/atom. As for the symmetry: Cmmm, No. 65. The density of states at the Fermi level is 0.823 states/eV per atom.

POSCAR file:
```
NdAl2Zn
1.0
-2.861 -1.071 -1.690
-0.199 -4.425 3.142
-2.602 4.509 1.547
Nd Al Zn
1 2 1
Cartesian
-0.332 -3.933 3.055
-3.063 -2.214 2.983
-1.662 -2.256 0.639
-2.963 -0.002 1.412
```

---

Record 3
Material: Nd6AlZn3
Method: DFT, PBE-GGA
State: optimized geometry

## Properties
The value obtained for the spin magnetization is 0.00 Bohr magnetons per cell. The calculation puts the energy of formation at -219 meV/atom. As for the symmetry: P2_1/m, No. 11. The density of states at the Fermi level is 0.884 states/eV per atom.

POSCAR file:
```
Nd6AlZn3
1.0
-0.579 -0.446 -5.141
3.961 -8.493 0.291
-11.397 -1.678 1.430
Nd Al Zn
12 2 6
Cartesian
0.618 -4.343 -1.004
-8.634 -6.274 -2.416
-1.430 -1.422 -1.027
-6.586 -9.195 -2.394
-5.307 -6.774 -0.125
-2.709 -3.843 -3.295
-4.859 -3.183 -0.487
-3.156 -7.434 -2.933
-0.489 -7.849 -0.575
-7.526 -2.768 -2.845
-9.703 -2.561 0.004
1.688 -8.055 -3.425
-3.297 -9.209 -0.141
-4.718 -1.408 -3.280
-2.368 -5.277 -0.586
-5.647 -5.339 -2.834
-7.523 -4.644 -0.060
-0.492 -5.973 -3.360
-8.146 -8.290 0.326
0.131 -2.327 -3.746
```

---

Record 4
Material: NdAl12Zn4
Method: DFT, PBE-GGA
State: optimized geometry

## Properties
The value obtained for the spin magnetization is 0.00 Bohr magnetons per cell. The calculation puts the energy of formation at 153 meV/atom. As for the symmetry: Im-3, No. 204. The density of states at the Fermi level is 0.493 states/eV per atom.

POSCAR file:
```
NdAl12Zn4
1.0
-4.958 0.990 -5.695
0.739 -7.437 1.459
-2.543 3.568 6.228
Nd Al Zn
1 12 4
Cartesian
0.000 0.000 0.000
-4.419 -1.076 -3.087
-1.759 -2.861 -0.284
-5.533 1.956 -0.314
-3.739 1.914 3.546
-1.229 -4.836 2.306
-5.003 -0.019 2.276
-3.284 0.590 -0.474
-3.478 -3.469 2.466
-3.023 -4.794 -1.554
-4.960 -2.236 -0.782
-1.802 -0.644 2.774
-2.343 -1.804 5.079
0.369 -3.719 0.729
-2.479 0.495 -2.847
-3.381 -1.440 0.996
-1.271 1.784 3.114
```

---

Record 5
Material: Nd2Al3Zn2
Method: DFT, PBE-GGA
State: optimized geometry

## Properties
The value obtained for the spin magnetization is 0.00 Bohr magnetons per cell. The calculation puts the energy of formation at -408 meV/atom. As for the symmetry: Cmcm, No. 63. The density of states at the Fermi level is 0.426 states/eV per atom.

POSCAR file:
```
Nd2Al3Zn2
1.0
-2.562 -1.599 -3.323
4.304 -5.599 -0.624
-4.050 -4.015 8.087
Nd Al Zn
4 6 4
Cartesian
-0.638 -2.948 1.911
-1.669 -8.265 2.229
-5.014 -6.542 3.979
2.707 -4.670 0.161
0.867 -6.332 2.378
-3.174 -4.881 1.762
-0.078 -3.788 -1.151
-2.229 -7.425 5.291
-0.683 -9.435 5.067
-1.624 -1.778 -0.927
0.780 -7.802 0.119
-3.087 -3.411 4.021
-1.500 -5.475 3.791
-0.807 -5.738 0.349
```

---

Record 6
Material: Nd3AlZn
Method: DFT, PBE-GGA
State: optimized geometry

## Properties
The value obtained for the spin magnetization is 0.00 Bohr magnetons per cell. The calculation puts the energy of formation at -143 meV/atom. As for the symmetry: C2/c, No. 15. The density of states at the Fermi level is 0.845 states/eV per atom.

POSCAR file:
```
Nd3AlZn
1.0
9.566 -0.381 -0.285
0.257 7.508 -1.453
0.257 0.727 7.613
Nd Al Zn
12 4 4
Cartesian
5.752 5.889 -0.964
9.110 6.926 -0.189
4.328 1.966 6.840
0.969 0.929 6.064
8.280 3.030 -0.434
6.582 7.225 2.704
1.799 4.825 6.309
3.497 0.630 3.172
5.823 3.680 4.449
9.039 2.357 3.459
4.256 4.175 1.426
1.040 5.498 2.416
2.648 6.686 -0.552
7.431 1.169 6.427
2.648 3.298 3.977
7.431 4.557 1.898
8.566 5.668 4.631
6.296 1.621 1.603
1.514 2.186 1.244
3.783 6.234 4.272
```

---

Record 7
Material: Nd2AlZn
Method: DFT, PBE-GGA
State: optimized geometry

## Properties
The value obtained for the spin magnetization is 0.00 Bohr magnetons per cell. The calculation puts the energy of formation at -323 meV/atom. As for the symmetry: Pmma, No. 51. The density of states at the Fermi level is 1.052 states/eV per atom.

POSCAR file:
```
Nd2AlZn
1.0
3.680 0.000 0.000
0.000 5.266 0.000
0.000 0.000 10.545
Nd Al Zn
4 2 2
Cartesian
0.000 1.317 1.308
0.000 3.950 9.237
0.000 1.317 6.607
0.000 3.950 3.938
1.840 1.317 3.942
1.840 3.950 6.602
1.840 1.317 9.228
1.840 3.950 1.317
```

---

Record 8
Material: NdAl3Zn2
Method: DFT, PBE-GGA
State: optimized geometry

## Properties
The value obtained for the spin magnetization is 0.00 Bohr magnetons per cell. The calculation puts the energy of formation at -267 meV/atom. As for the symmetry: C2/m, No. 12. The density of states at the Fermi level is 0.309 states/eV per atom.

POSCAR file:
```
NdAl3Zn2
1.0
4.255 0.000 -1.158
-0.556 6.478 -2.044
-0.046 0.287 8.231
Nd Al Zn
2 6 4
Cartesian
0.387 1.308 1.422
3.266 5.457 3.607
2.432 6.112 0.542
-0.101 4.442 -0.370
1.283 3.358 4.718
2.370 3.407 0.312
3.754 2.323 5.399
1.221 0.653 4.487
1.767 5.445 -1.902
1.886 1.321 6.931
0.603 4.464 2.217
3.050 2.301 2.813
```

---

Record 9
Material: Nd7Al2Zn2
Method: DFT, PBE-GGA
State: optimized geometry

## Properties
The value obtained for the spin magnetization is 0.00 Bohr magnetons per cell. The calculation puts the energy of formation at -7 meV/atom. As for the symmetry: Cmmm, No. 65. The density of states at the Fermi level is 1.480 states/eV per atom.

POSCAR file:
```
Nd7Al2Zn2
1.0
6.755 -0.003 -0.965
0.004 7.632 0.003
-1.384 -0.002 6.682
Nd Al Zn
7 2 2
Cartesian
6.064 2.172 2.377
1.996 5.453 6.202
-0.689 5.455 3.343
3.379 2.174 -0.481
0.000 0.000 0.000
2.689 5.666 2.861
2.687 1.961 2.860
4.485 3.812 4.773
0.891 3.815 0.948
4.419 7.629 1.237
0.956 -0.002 4.484
```

---

Record 10
Material: Nd2Al5Zn3
Method: DFT, PBE-GGA
State: optimized geometry

## Properties
The value obtained for the spin magnetization is 0.00 Bohr magnetons per cell. The calculation puts the energy of formation at -378 meV/atom. As for the symmetry: P-4m2, No. 115. The density of states at the Fermi level is 0.365 states/eV per atom.

POSCAR file:
```
Nd2Al5Zn3
1.0
-3.731 1.916 0.596
-1.413 -3.402 2.094
3.708 4.280 9.454
Nd Al Zn
2 5 3
Cartesian
-0.938 2.029 2.663
2.075 1.509 8.136
-2.572 -0.743 1.345
0.000 0.000 0.000
1.301 4.613 8.372
-0.165 -1.076 2.427
-0.718 1.397 6.072
0.475 3.660 6.266
0.661 -0.122 4.533
1.854 2.140 4.727
```

---

Record 11
Material: NdAlZn2
Method: DFT, PBE-GGA
State: optimized geometry

## Properties
The value obtained for the spin magnetization is 0.00 Bohr magnetons per cell. The calculation puts the energy of formation at -162 meV/atom. As for the symmetry: Cmmm, No. 65. The density of states at the Fermi level is 0.566 states/eV per atom.

POSCAR file:
```
NdAlZn2
1.0
3.645 0.000 0.000
0.000 5.266 -0.764
0.000 -1.987 4.936
Nd Al Zn
1 1 2
Cartesian
0.000 4.868 -0.451
1.823 1.240 2.400
1.823 3.873 2.018
1.823 2.234 -0.068
```

---

Record 12
Material: NdAl2Zn
Method: DFT, PBE-GGA
State: optimized geometry

## Properties
The value obtained for the spin magnetization is 0.00 Bohr magnetons per cell. The calculation puts the energy of formation at -303 meV/atom. As for the symmetry: P4/mmm, No. 123. The density of states at the Fermi level is 0.653 states/eV per atom.

POSCAR file:
```
NdAl2Zn
1.0
-1.656 -3.904 1.092
3.764 -1.910 -1.120
1.474 0.516 4.078
Zn Nd Al
1 1 2
Cartesian
-0.828 -1.952 0.546
1.791 -2.649 2.025
0.737 0.258 2.039
1.882 -0.955 -0.560
```

---

Record 13
Material: Nd6Al3Zn
Method: DFT, PBE-GGA
State: optimized geometry

## Properties
The value obtained for the spin magnetization is 0.00 Bohr magnetons per cell. The calculation puts the energy of formation at -94 meV/atom. As for the symmetry: P2_1/c, No. 14. The density of states at the Fermi level is 1.012 states/eV per atom.

POSCAR file:
```
Nd6Al3Zn
1.0
8.362 0.000 -0.189
0.000 7.836 0.000
-0.132 0.000 8.950
Nd Al Zn
12 6 2
Cartesian
5.608 1.347 8.143
5.341 1.137 4.921
6.273 3.169 2.240
1.958 4.667 6.521
2.889 6.699 3.840
2.623 6.489 0.618
1.492 2.571 3.763
1.226 2.781 0.540
2.025 0.749 6.809
6.205 7.087 1.952
7.005 5.055 8.221
6.738 5.265 4.998
4.442 6.501 6.946
4.181 3.918 -0.095
3.789 1.335 1.815
0.326 5.253 2.565
-0.066 0.000 4.475
7.904 2.583 6.196
4.115 3.918 4.380
0.000 0.000 0.000
```

---

Record 14
Material: NdAl2Zn
Method: DFT, PBE-GGA
State: optimized geometry

## Properties
The value obtained for the spin magnetization is 0.00 Bohr magnetons per cell. The calculation puts the energy of formation at 293 meV/atom. As for the symmetry: R-3m, No. 166. The density of states at the Fermi level is 0.776 states/eV per atom.

POSCAR file:
```
NdAl2Zn
1.0
3.129 0.000 0.000
1.565 2.710 0.000
1.565 0.903 10.374
Zn Nd Al
1 1 2
Cartesian
3.129 1.807 5.187
0.000 0.000 0.000
1.565 0.903 7.269
4.694 2.710 3.104
```

---

Record 15
Material: Nd2AlZn9
Method: DFT, PBE-GGA
State: optimized geometry

## Properties
The value obtained for the spin magnetization is 0.00 Bohr magnetons per cell. The calculation puts the energy of formation at -95 meV/atom. As for the symmetry: R-3m, No. 166. The density of states at the Fermi level is 0.580 states/eV per atom.

POSCAR file:
```
Nd2AlZn9
1.0
-3.764 -3.822 1.562
-2.210 -3.457 -3.792
4.223 -7.964 0.683
Nd Al Zn
2 1 9
Cartesian
-3.410 -9.563 -1.641
1.660 -5.680 0.095
0.000 0.000 0.000
-3.960 -4.872 -1.481
2.210 -10.370 -0.065
-0.875 -7.621 -0.773
-1.451 -4.973 -0.760
-3.364 -6.916 0.034
-2.574 -6.730 -2.687
-0.300 -10.269 -0.786
0.824 -8.512 1.141
1.614 -8.327 -1.580
```

---

Record 16
Material: Nd8AlZn2
Method: DFT, PBE-GGA
State: optimized geometry

## Properties
The value obtained for the spin magnetization is 0.00 Bohr magnetons per cell. The calculation puts the energy of formation at -97 meV/atom. As for the symmetry: Immm, No. 71. The density of states at the Fermi level is 1.128 states/eV per atom.

POSCAR file:
```
Nd8AlZn2
1.0
0.601 4.808 -1.527
2.780 -2.763 -7.605
-8.713 -0.967 1.980
Nd Al Zn
8 1 2
Cartesian
0.043 0.420 -7.109
-4.129 -0.582 -3.456
-1.928 0.015 -0.710
0.876 -0.871 -2.397
-3.405 1.063 -6.443
-1.204 1.660 -3.697
-5.376 0.657 -0.044
-6.209 1.949 -4.756
0.300 2.404 -0.764
-1.317 -1.360 -4.800
-4.015 2.438 -2.353
```

---

Record 17
Material: Nd2Al5Zn2
Method: DFT, PBE-GGA
State: optimized geometry

## Properties
The value obtained for the spin magnetization is 0.00 Bohr magnetons per cell. The calculation puts the energy of formation at -346 meV/atom. As for the symmetry: P4/mmm, No. 123. The density of states at the Fermi level is 0.621 states/eV per atom.

POSCAR file:
```
Nd2Al5Zn2
1.0
4.246 0.000 0.000
0.000 4.246 0.000
0.000 0.000 10.103
Nd Al Zn
2 5 2
Cartesian
0.000 0.000 0.000
0.000 0.000 5.051
2.123 0.000 2.743
2.123 0.000 7.360
0.000 2.123 2.743
0.000 2.123 7.360
2.123 2.123 5.051
2.123 2.123 1.195
2.123 2.123 8.908
```

---

Record 18
Material: Nd3Al4Zn2
Method: DFT, PBE-GGA
State: optimized geometry

## Properties
The value obtained for the spin magnetization is 0.00 Bohr magnetons per cell. The calculation puts the energy of formation at -445 meV/atom. As for the symmetry: C2/m, No. 12. The density of states at the Fermi level is 0.708 states/eV per atom.

POSCAR file:
```
Nd3Al4Zn2
1.0
-0.185 -4.506 -0.696
0.665 1.398 5.734
-8.470 0.676 -2.128
Nd Al Zn
3 4 2
Cartesian
-5.526 -2.091 0.049
0.000 0.000 0.000
-2.464 -0.341 2.862
-0.364 -2.597 1.954
-7.626 0.165 0.957
-4.811 -2.604 3.181
-3.179 0.172 -0.270
-2.317 -2.252 0.238
-5.674 -0.180 2.673
```

---

Record 19
Material: Nd4Al3Zn
Method: DFT, PBE-GGA
State: optimized geometry

## Properties
The value obtained for the spin magnetization is 0.00 Bohr magnetons per cell. The calculation puts the energy of formation at -342 meV/atom. As for the symmetry: P4/mmm, No. 123. The density of states at the Fermi level is 0.766 states/eV per atom.

POSCAR file:
```
Nd4Al3Zn
1.0
-3.791 -3.384 1.369
-0.741 -2.056 -7.132
7.228 -7.522 1.417
Zn Nd Al
2 8 6
Cartesian
-0.370 -1.028 -3.566
3.243 -4.789 -2.857
-2.449 -3.227 -4.641
1.165 -6.988 -3.932
-2.083 -2.213 -1.122
1.531 -5.974 -0.413
4.866 -7.178 -4.262
-2.535 -6.798 -3.602
-2.170 -5.784 -0.084
5.232 -6.164 -0.743
0.000 0.000 0.000
3.614 -3.761 0.709
3.523 -7.336 1.749
-0.085 -3.570 1.038
3.154 -8.363 -1.818
-0.457 -4.599 -2.528
```

---

Record 20
Material: Nd6Al3Zn
Method: DFT, PBE-GGA
State: optimized geometry

## Properties
The value obtained for the spin magnetization is 0.00 Bohr magnetons per cell. The calculation puts the energy of formation at -256 meV/atom. As for the symmetry: P2_1/m, No. 11. The density of states at the Fermi level is 0.863 states/eV per atom.

POSCAR file:
```
Nd6Al3Zn
1.0
5.248 0.000 0.000
0.000 8.875 -2.998
0.000 -0.003 11.752
Nd Al Zn
12 6 2
Cartesian
1.312 4.104 -0.357
3.936 4.768 9.111
1.312 1.129 1.353
3.936 7.743 7.401
1.312 5.862 5.884
3.936 3.010 2.870
1.312 2.221 5.149
3.936 6.651 3.605
1.312 7.450 1.113
3.936 1.422 7.641
1.312 0.943 9.897
3.936 7.929 -1.143
1.312 4.729 2.808
3.936 4.143 5.946
1.312 3.435 8.014
3.936 5.436 0.740
1.312 6.810 9.100
3.936 2.061 -0.346
1.312 8.520 4.086
3.936 0.352 4.668
```